No. 1
This record from Alexandria via LeMat-Bulk describes a relaxed KCa2Mg crystal. The functional is GGA-PBEsol.

Unit cell a=3.9791 b=6.4637 c=12.6949 alpha=90.00 beta=90.00 gamma=90.00
Space group Immm (No. 71)
One atom of each set of equivalent atoms:
K: 0.0000 0.0000 0.0000 [2 per cell]
Ca: 0.0000 0.5000 0.2197 [4 per cell]
Mg: 0.0000 0.0000 0.5000 [2 per cell]

The density of states at the Fermi level comes out at 4.020 states/eV/f.u. The calculation puts the density at 1.46 g cm⁻³. The value obtained for the energy of formation is 0.14 eV/atom. Its total energy is -13.1 eV/cell.



No. 2
This record from Alexandria via LeMat-Bulk describes a relaxed Na4TiO4 crystal. The functional is GGA-PBEsol.

Unit cell a=8.7888 b=8.6234 c=6.6549 alpha=90.00 beta=90.00 gamma=90.00
Space group Cmcm (No. 63)
One atom of each set of equivalent atoms:
Na: 0.1527 0.2110 0.2500 [8 per cell]
Na: 0.1625 0.5000 0.0000 [8 per cell]
Ti: 0.0000 0.1707 0.7500 [4 per cell]
O: 0.0000 0.2935 0.5236 [8 per cell]
O: 0.1773 0.0595 0.7500 [8 per cell]

The density of states at the Fermi level comes out at 0.000 states/eV/f.u. The calculation puts the density at 2.68 g cm⁻³. The formation energy (no corrections) is -2.0597 eV/atom. Its total energy is -213.8 eV/cell.